1.
The following is a DFT calculation (PBE-GGA) of crystalline ZnTc2Rh at its relaxed geometry.

The structure in extended XYZ format:
```
4
Lattice="-1.348 -1.066 -3.981 2.142 -3.000 -2.284 -1.803 -3.879 -0.713" Properties=species:S:1:pos:R:3 pbc="T T T"
Tc 0.000 0.000 0.000
Tc -0.757 -5.958 -5.233
Zn -0.252 -1.986 -1.744
Rh -0.504 -3.972 -3.489
```

Summary:
**Formation enthalpy at 0 K**: 0.0926 eV per atom
**M_tot**: 0.8 μB per formula unit
**Density of states at the Fermi level**: 3.9 states/eV/cell
**Space-group type**: F-43m
**Theoretical density**: 10.49 Mg/m³
**Total energy**: -7.25 eV per atom

2.
The following is a DFT calculation (PBE-GGA) of crystalline Zn3TcRh12 at its relaxed geometry.

The structure in extended XYZ format:
```
16
Lattice="3.834 0.000 0.000 0.000 3.834 0.000 0.000 0.000 15.398" Properties=species:S:1:pos:R:3 pbc="T T T"
Rh 1.917 1.917 7.699
Rh 0.000 1.917 9.620
Rh 1.917 1.917 0.000
Rh 0.000 1.917 13.509
Rh 0.000 1.917 5.778
Rh 1.917 1.917 3.852
Rh 1.917 0.000 13.509
Rh 1.917 0.000 9.620
Rh 0.000 1.917 1.889
Rh 1.917 1.917 11.546
Rh 1.917 0.000 1.889
Rh 1.917 0.000 5.778
Tc 0.000 0.000 0.000
Zn 0.000 0.000 3.868
Zn 0.000 0.000 7.699
Zn 0.000 0.000 11.530
```

Summary:
**Formation enthalpy at 0 K**: -0.1174 eV per atom
**M_tot**: 0.0 μB per formula unit
**Density of states at the Fermi level**: 19.1 states/eV/cell
**Space-group type**: P4/mmm
**Theoretical density**: 11.22 Mg/m³
**Total energy**: -6.52 eV per atom

3.
The following is a DFT calculation (PBE-GGA) of crystalline Zn2TcRh at its relaxed geometry.

The structure in extended XYZ format:
```
4
Lattice="5.188 -0.003 0.001 2.496 4.548 -0.001 -3.282 -3.220 2.404" Properties=species:S:1:pos:R:3 pbc="T T T"
Zn 2.869 -0.479 1.202
Zn 7.657 4.528 0.000
Rh 3.849 2.276 0.000
Tc 1.554 1.816 1.201
```

Summary:
**ΔE to the lowest computed polymorph**: 0.51 eV/f.u.
**Formation enthalpy at 0 K**: -0.0017 eV per atom
**M_tot**: 0.0 μB per formula unit
**Density of states at the Fermi level**: 4.2 states/eV/cell
**Space-group type**: Imm2
**Theoretical density**: 9.71 Mg/m³
**Total energy**: -5.07 eV per atom

4.
The following is a DFT calculation (PBE-GGA) of crystalline ZnTc2Rh2 at its relaxed geometry.

The structure in extended XYZ format:
```
10
Lattice="7.551 0.000 0.000 0.000 7.551 0.000 0.000 0.000 2.701" Properties=species:S:1:pos:R:3 pbc="T T T"
Tc 6.241 2.465 1.350
Tc 1.310 5.085 1.350
Tc 5.085 6.241 1.350
Tc 2.465 1.310 1.350
Zn 0.000 0.000 0.000
Zn 3.775 3.775 0.000
Rh 6.623 4.703 0.000
Rh 0.928 2.847 0.000
Rh 4.703 0.928 0.000
Rh 2.847 6.623 0.000
```

Summary:
**Formation enthalpy at 0 K**: 0.1752 eV per atom
**M_tot**: 0.0 μB per formula unit
**Density of states at the Fermi level**: 8.7 states/eV/cell
**Space-group type**: P4/mbm
**Theoretical density**: 10.08 Mg/m³
**Total energy**: -7.17 eV per atom

5.
The following is a DFT calculation (PBE-GGA) of crystalline ZnTc4Rh at its relaxed geometry.

The structure in extended XYZ format:
```
6
Lattice="2.952 1.296 3.934 -0.148 4.740 1.838 -2.080 0.898 4.554" Properties=species:S:1:pos:R:3 pbc="T T T"
Tc 1.491 3.885 4.177
Tc -1.022 3.686 4.487
Tc 0.526 1.966 5.534
Tc 0.452 4.333 6.452
Rh 0.000 0.000 0.000
Zn 0.181 1.734 2.581
```

Summary:
**Formation enthalpy at 0 K**: 0.3813 eV per atom
**M_tot**: 0.0 μB per formula unit
**Density of states at the Fermi level**: 6.9 states/eV/cell
**Space-group type**: F-43m
**Theoretical density**: 10.00 Mg/m³
**Total energy**: -7.97 eV per atom

6.
The following is a DFT calculation (PBE-GGA) of crystalline ZnTc2Rh at its relaxed geometry.

The structure in extended XYZ format:
```
4
Lattice="4.966 -0.003 -0.031 2.265 4.419 0.031 -3.599 -2.235 2.591" Properties=species:S:1:pos:R:3 pbc="T T T"
Tc 7.231 4.416 0.000
Tc 3.616 2.208 0.000
Zn 2.491 -0.015 1.280
Rh 1.141 2.196 1.311
```

Summary:
**Formation enthalpy at 0 K**: -0.0320 eV per atom
**M_tot**: 0.0 μB per formula unit
**Density of states at the Fermi level**: 2.8 states/eV/cell
**Space-group type**: I4/mmm
**Theoretical density**: 10.64 Mg/m³
**Total energy**: -7.37 eV per atom

7.
The following is a DFT calculation (PBE-GGA) of crystalline Zn2TcRh2 at its relaxed geometry.

The structure in extended XYZ format:
```
10
Lattice="-1.093 -6.904 -1.236 -0.488 -1.173 6.984 -2.794 0.463 -0.117" Properties=species:S:1:pos:R:3 pbc="T T T"
Zn -0.318 -1.286 2.488
Zn -0.841 -3.639 5.664
Zn -1.263 -6.791 3.259
Zn -0.740 -4.438 0.084
Rh -2.539 -5.414 4.844
Rh -1.922 -1.793 4.456
Rh -2.452 -5.822 1.174
Rh -1.836 -2.201 0.786
Tc -0.790 -4.039 2.874
Tc 0.000 0.000 0.000
```

Summary:
**ΔE to the lowest computed polymorph**: 0.00 eV/f.u.
**Formation enthalpy at 0 K**: 0.0085 eV per atom
**M_tot**: 0.8 μB per formula unit
**Density of states at the Fermi level**: 9.2 states/eV/cell
**Space-group type**: P4/mbm
**Theoretical density**: 10.11 Mg/m³
**Total energy**: -5.51 eV per atom

8.
The following is a DFT calculation (PBE-GGA) of crystalline Zn2TcRh at its relaxed geometry.

The structure in extended XYZ format:
```
4
Lattice="-6.688 -5.355 2.916 -5.551 -7.066 1.083 -4.547 -6.926 3.643" Properties=species:S:1:pos:R:3 pbc="T T T"
Rh -8.358 -9.633 3.805
Zn -0.045 -0.052 0.021
Zn -4.134 -4.765 1.882
Tc -12.642 -14.571 5.755
```

Summary:
**ΔE to the lowest computed polymorph**: 0.32 eV/f.u.
**Formation enthalpy at 0 K**: -0.0474 eV per atom
**M_tot**: 0.0 μB per formula unit
**Density of states at the Fermi level**: 3.0 states/eV/cell
**Space-group type**: R3m
**Theoretical density**: 9.42 Mg/m³
**Total energy**: -5.11 eV per atom

density of states at the Fermi level of number 1 (ZnTc2Rh)?
3.9 states/eV/cell

What did the sixth record say?
The following is a DFT calculation (PBE-GGA) of crystalline ZnTc2Rh at its relaxed geometry.

The structure in extended XYZ format:
```
4
Lattice="4.966 -0.003 -0.031 2.265 4.419 0.031 -3.599 -2.235 2.591" Properties=species:S:1:pos:R:3 pbc="T T T"
Tc 7.231 4.416 0.000
Tc 3.616 2.208 0.000
Zn 2.491 -0.015 1.280
Rh 1.141 2.196 1.311
```

Summary:
**Formation enthalpy at 0 K**: -0.0320 eV per atom
**M_tot**: 0.0 μB per formula unit
**Density of states at the Fermi level**: 2.8 states/eV/cell
**Space-group type**: I4/mmm
**Theoretical density**: 10.64 Mg/m³
**Total energy**: -7.37 eV per atom

Which of these has the lowest total energy?
ZnTc4Rh

Which value of density of states at the Fermi level does entry 1 give?
3.9 states/eV/cell